No. 1
A plane-wave DFT calculation with PBE-GGA was carried out for crystalline LaErZnAu at its relaxed geometry.

Energy relative to the lowest polymorph listed for this composition ... 0.0333 eV/atom

```
data_LaErZnAu
_cell_length_a 7.350
_cell_length_b 7.350
_cell_length_c 7.350
_cell_angle_alpha 90.00
_cell_angle_beta 90.00
_cell_angle_gamma 90.00
_symmetry_space_group_name_H-M 'F -4 3 m'
_symmetry_Int_Tables_number 216
_symmetry_space_group_name_Hall 'F -4 2 3'
loop_
_atom_site_label
_atom_site_type_symbol
_atom_site_fract_x
_atom_site_fract_y
_atom_site_fract_z
La1 La 0.000 0.000 0.000
Er1 Er 0.000 0.000 0.500
Zn1 Zn 0.250 0.250 0.250
Au1 Au 0.250 0.250 0.750
```


No. 2
A plane-wave DFT calculation with PBE-GGA was carried out for crystalline LiEr2Au2 at its relaxed geometry.

Energy relative to the lowest polymorph listed for this composition ... 0.0815 eV/atom

```
data_LiEr2Au2
_cell_length_a 7.599
_cell_length_b 11.221
_cell_length_c 5.625
_cell_angle_alpha 90.00
_cell_angle_beta 90.00
_cell_angle_gamma 90.00
_symmetry_space_group_name_H-M 'I b a m'
_symmetry_Int_Tables_number 72
_symmetry_space_group_name_Hall '-I 2 2c'
loop_
_atom_site_label
_atom_site_type_symbol
_atom_site_fract_x
_atom_site_fract_y
_atom_site_fract_z
Li1 Li 0.000 0.000 0.250
Er1 Er 0.156 0.334 0.000
Au1 Au 0.216 0.406 0.500
```


No. 3
A plane-wave DFT calculation with PBE-GGA was carried out for crystalline LiEr6Au5 at its relaxed geometry.

```
data_LiEr6Au5
_cell_length_a 5.005
_cell_length_b 7.156
_cell_length_c 15.298
_cell_angle_alpha 90.00
_cell_angle_beta 90.00
_cell_angle_gamma 90.00
_symmetry_space_group_name_H-M 'I m m m'
_symmetry_Int_Tables_number 71
_symmetry_space_group_name_Hall '-I 2 2'
loop_
_atom_site_label
_atom_site_type_symbol
_atom_site_fract_x
_atom_site_fract_y
_atom_site_fract_z
Li1 Li 0.000 0.000 0.000
Er1 Er 0.000 0.241 0.500
Er2 Er 0.000 0.252 0.169
Au1 Au 0.000 0.000 0.329
Au2 Au 0.000 0.500 0.000
Au3 Au 0.000 0.500 0.353
```


No. 4
A plane-wave DFT calculation with PBE-GGA was carried out for crystalline LiEr2Au3 at its relaxed geometry.

Energy relative to the lowest polymorph listed for this composition ... 0.0000 eV/atom

```
data_LiEr2Au3
_cell_length_a 4.9365
_cell_length_b 4.9365
_cell_length_c 11.9233
_cell_angle_alpha 90.00
_cell_angle_beta 90.00
_cell_angle_gamma 120.00
_symmetry_space_group_name_H-M 'P -3 m 1'
_symmetry_Int_Tables_number 164
_symmetry_space_group_name_Hall '-P 3 2"'
loop_
_atom_site_label
_atom_site_type_symbol
_atom_site_fract_x
_atom_site_fract_y
_atom_site_fract_z
Li1 Li 0.3333 0.6667 0.1687
Er1 Er 0.0000 0.0000 0.0000
Er2 Er 0.0000 0.0000 0.5000
Er3 Er 0.3333 0.6667 0.6837
Au1 Au 0.0000 0.0000 0.2497
Au2 Au 0.3333 0.6667 0.4228
Au3 Au 0.3333 0.6667 0.9324
```


No. 5
A plane-wave DFT calculation with PBE-GGA was carried out for crystalline Li2ErAu6 at its relaxed geometry.

```
data_Li2ErAu6
_cell_length_a 13.473
_cell_length_b 9.773
_cell_length_c 5.070
_cell_angle_alpha 90.00
_cell_angle_beta 99.75
_cell_angle_gamma 90.00
_symmetry_space_group_name_H-M 'C 1 2/c 1'
_symmetry_Int_Tables_number 15
_symmetry_space_group_name_Hall '-C 2yc'
loop_
_atom_site_label
_atom_site_type_symbol
_atom_site_fract_x
_atom_site_fract_y
_atom_site_fract_z
Li1 Li 0.169 0.123 0.091
Er1 Er 0.000 0.368 0.250
Au1 Au 0.059 0.115 0.535
Au2 Au 0.119 0.371 0.803
Au3 Au 0.227 0.371 0.347
```


No. 6
A plane-wave DFT calculation with PBE-GGA was carried out for crystalline LiEr2Au3 at its relaxed geometry.

Energy relative to the lowest polymorph listed for this composition ... 0.0392 eV/atom

```
data_LiEr2Au3
_cell_length_a 4.864
_cell_length_b 14.748
_cell_length_c 3.558
_cell_angle_alpha 90.00
_cell_angle_beta 90.00
_cell_angle_gamma 90.00
_symmetry_space_group_name_H-M 'C m m m'
_symmetry_Int_Tables_number 65
_symmetry_space_group_name_Hall '-C 2 2'
loop_
_atom_site_label
_atom_site_type_symbol
_atom_site_fract_x
_atom_site_fract_y
_atom_site_fract_z
Li1 Li 0.000 0.000 0.000
Er1 Er 0.000 0.340 0.000
Au1 Au 0.000 0.173 0.500
Au2 Au 0.000 0.500 0.500
```


no.,total magnetization (μB per cell),calculated formation energy (eV per atom),total DFT energy (no corrections) (eV/atom)
1,0.003,-0.55,-4.0587
2,0.000,-0.62,-4.1350
3,0.000,-0.76,-4.5626
4,0.000,-0.77,-4.2523
5,0.000,-0.52,-3.6329
6,0.000,-0.73,-4.2131